1.
VASP calculation (PBE) on a relaxed structure of Al2Ag5Au.

POSCAR file:
```
Al2Ag5Au
1.0
5.8111 0.0000 0.0000
0.0000 11.6056 0.0000
0.0000 0.0000 4.0762
Al Ag Au
4 10 2
Direct
0.2300 0.1202 0.0000
0.2700 0.6202 0.0000
0.7300 0.3798 0.0000
0.7700 0.8798 0.0000
0.0000 0.5000 0.5000
0.0216 0.7498 0.5000
0.2300 0.3709 0.0000
0.2700 0.8709 0.0000
0.4784 0.2498 0.5000
0.5000 0.0000 0.5000
0.5216 0.7502 0.5000
0.7300 0.1291 0.0000
0.7700 0.6291 0.0000
0.9784 0.2502 0.5000
0.0000 0.0000 0.5000
0.5000 0.5000 0.5000
```

Values from the calculation:
The space group is Pbam (55).

---

2.
VASP calculation (PBE) on a relaxed structure of Sr2BeMo.

POSCAR file:
```
Sr2BeMo
1.0
-1.8917 2.5741 5.5539
1.8917 -2.5741 5.5539
1.8917 2.5741 -5.5539
Sr Be Mo
2 1 1
Direct
0.0000 0.0000 0.0000
0.7136 0.2136 0.5000
0.4307 0.4307 0.0000
0.3087 0.8087 0.5000
```

Values from the calculation:
The space group is Imm2 (44).

---

3.
VASP calculation (PBE) on a relaxed structure of CoCu2Ru.

POSCAR file:
```
CoCu2Ru
1.0
-1.7701 1.8026 3.8958
1.7701 -1.8026 3.8958
1.7701 1.8026 -3.8958
Co Cu Ru
1 2 1
Direct
0.0000 0.0000 0.0000
0.2492 0.7492 0.5000
0.7508 0.2508 0.5000
0.5000 0.5000 0.0000
```

Values from the calculation:
The space group is Immm (71). Its relative energy among the computed polymorphs is 0.45 eV/f.u.

---

4.
VASP calculation (PBE) on a relaxed structure of Co4PdPt15.

POSCAR file:
```
Co4PdPt15
1.0
3.8931 0.0000 0.0000
0.0000 3.8931 0.0000
0.0000 0.0000 19.6096
Co Pd Pt
4 1 15
Direct
0.0000 0.0000 0.0984
0.0000 0.0000 0.2984
0.0000 0.0000 0.7016
0.0000 0.0000 0.9016
0.0000 0.0000 0.5000
0.0000 0.5000 0.0000
0.0000 0.5000 0.1979
0.0000 0.5000 0.3951
0.0000 0.5000 0.6049
0.0000 0.5000 0.8021
0.5000 0.0000 0.0000
0.5000 0.0000 0.1979
0.5000 0.0000 0.3951
0.5000 0.0000 0.6049
0.5000 0.0000 0.8021
0.5000 0.5000 0.0992
0.5000 0.5000 0.2964
0.5000 0.5000 0.5000
0.5000 0.5000 0.7036
0.5000 0.5000 0.9008
```

Values from the calculation:
The space group is P4/mmm (123).

---

Number 1: final energy -0.2360 Ry per atom, calculated formation energy -0.08 eV per atom. Number 2: final energy -0.2754 Ry per atom, calculated formation energy 0.73 eV per atom. Number 3: final energy -0.4319 Ry per atom, calculated formation energy 0.27 eV per atom. Number 4: final energy -0.4617 Ry per atom, calculated formation energy -0.07 eV per atom.